Record 1
VASP calculation (GGA-PBEsol) on crystalline YMn2Co at its relaxed geometry.

Summary:
ΔE to the lowest computed polymorph ... 134 kJ/mol of formula units
Energy relative to the elements ... 0.56 eV/atom

POSCAR file:
```
YMn2Co
1.0
2.5914 -4.4334 0.0000
2.5914 4.4334 0.0000
-1.2277 0.0000 2.5448
Y Mn Co
1 2 1
Direct
0.0000 0.0000 0.0000 Y
0.0000 0.5000 0.5000 Mn
0.5000 0.0000 0.5000 Mn
0.5000 0.5000 0.0000 Co
```

Record 2
VASP calculation (GGA-PBEsol) on crystalline RbCaY2Pt at its relaxed geometry.

Summary:
Energy relative to the elements ... 1.46 eV/atom

POSCAR file:
```
RbCaY2Pt
1.0
5.3734 0.0000 0.0000
0.0000 5.3734 0.0000
0.0000 0.0000 5.3144
Rb Ca Y Pt
1 1 2 1
Direct
0.0000 0.0000 0.0000 Rb
0.0000 0.0000 0.5000 Ca
0.0000 0.5000 0.5000 Y
0.5000 0.0000 0.5000 Y
0.5000 0.5000 0.0000 Pt
```

Record 3
VASP calculation (GGA-PBEsol) on crystalline Ba2MgOsO6 at its relaxed geometry.

Summary:
ΔE_f (raw) ... -2228 meV/atom

POSCAR file:
```
Ba2MgOsO6
1.0
0.0000 4.0335 4.0335
4.0335 0.0000 4.0335
4.0335 4.0335 0.0000
Ba Mg Os O
2 1 1 6
Direct
0.2500 0.2500 0.2500 Ba
0.7500 0.7500 0.7500 Ba
0.0000 0.0000 0.0000 Mg
0.5000 0.5000 0.5000 Os
0.2598 0.2598 0.7402 O
0.2598 0.7402 0.2598 O
0.2598 0.7402 0.7402 O
0.7402 0.2598 0.2598 O
0.7402 0.2598 0.7402 O
0.7402 0.7402 0.2598 O
```

Record 4
VASP calculation (GGA-PBEsol) on crystalline Tl2PAu2 at its relaxed geometry.

Summary:
Energy relative to the elements ... 0.26 eV/atom

POSCAR file:
```
Tl2PAu2
1.0
-1.8653 1.8653 7.9992
1.8653 -1.8653 7.9992
1.8653 1.8653 -7.9992
Tl P Au
2 1 2
Direct
0.0973 0.0973 0.0000 Tl
0.9027 0.9027 0.0000 Tl
0.5000 0.5000 0.0000 P
0.2500 0.7500 0.5000 Au
0.7500 0.2500 0.5000 Au
```

Record 5
VASP calculation (GGA-PBEsol) on crystalline YBeCo2 at its relaxed geometry.

Summary:
Energy relative to the elements ... -0.16 eV/atom

POSCAR file:
```
YBeCo2
1.0
1.9055 1.1001 4.6818
-1.9055 1.1001 4.6818
0.0000 -2.2003 4.6818
Y Be Co
1 1 2
Direct
0.0000 0.0000 0.0000 Y
0.8078 0.8078 0.8078 Be
0.1925 0.1925 0.1925 Co
0.4970 0.4970 0.4970 Co
```

Record 6
VASP calculation (GGA-PBEsol) on crystalline LaAlTc at its relaxed geometry.

Summary:
Energy relative to the elements ... 0.03 eV/atom

POSCAR file:
```
LaAlTc
1.0
4.3714 0.0000 0.0000
-2.1857 3.7857 0.0000
0.0000 0.0000 3.9571
La Al Tc
1 1 1
Direct
0.0000 0.0000 0.0000 La
0.6667 0.3333 0.5000 Al
0.3333 0.6667 0.5000 Tc
```

Record 7
VASP calculation (GGA-PBEsol) on crystalline Li3BiO3 at its relaxed geometry.

Summary:
ΔE_f (raw) ... -1583 meV/atom
ΔE to the lowest computed polymorph ... 59 kJ/mol of formula units

POSCAR file:
```
Li3BiO3
1.0
-6.7811 6.7811 3.7134
6.7811 -6.7811 3.7134
6.7811 6.7811 -3.7134
Li Bi O
24 8 24
Direct
0.0280 0.5829 0.6236 Li
0.0287 0.9114 0.0365 Li
0.0928 0.0039 0.3605 Li
0.1100 0.7377 0.8975 Li
0.1544 0.2780 0.9452 Li
0.2752 0.9005 0.4790 Li
0.2947 0.9912 0.2859 Li
0.3329 0.2092 0.0548 Li
0.4216 0.7963 0.5210 Li
0.4823 0.3428 0.5888 Li
0.4877 0.0903 0.1278 Li
0.5463 0.5252 0.8747 Li
0.6434 0.7323 0.6395 Li
0.6505 0.6716 0.1253 Li
0.6614 0.1249 0.3828 Li
0.7053 0.0088 0.7141 Li
0.7412 0.9553 0.1966 Li
0.7422 0.2787 0.6172 Li
0.7539 0.8934 0.4112 Li
0.7588 0.5447 0.8034 Li
0.8403 0.2125 0.1025 Li
0.8749 0.9922 0.9635 Li
0.9592 0.4044 0.3764 Li
0.9625 0.3600 0.8722 Li
0.0459 0.9268 0.6845 Bi
0.1113 0.2959 0.6191 Bi
0.2422 0.3613 0.3155 Bi
0.3321 0.7091 0.1773 Bi
0.4591 0.7818 0.8769 Bi
0.5318 0.1549 0.8227 Bi
0.6768 0.4922 0.3809 Bi
0.9049 0.5821 0.1231 Bi
0.0292 0.7774 0.3302 O
0.0874 0.0403 0.8858 O
0.0942 0.4317 0.2545 O
0.1545 0.2016 0.1142 O
0.1773 0.8397 0.7455 O
0.1817 0.4273 0.8375 O
0.1944 0.8777 0.0880 O
0.3788 0.2213 0.3951 O
0.3908 0.8753 0.3654 O
0.4473 0.6990 0.6698 O
0.4490 0.2792 0.7517 O
0.5099 0.0254 0.6346 O
0.5274 0.6973 0.2483 O
0.5897 0.3442 0.1625 O
0.6253 0.7599 0.9846 O
0.6277 0.0397 0.1833 O
0.7337 0.6288 0.6575 O
0.7754 0.6408 0.0154 O
0.7897 0.1064 0.9120 O
0.7903 0.4045 0.4529 O
0.8262 0.9837 0.6049 O
0.8564 0.4444 0.8167 O
0.9516 0.3374 0.5471 O
0.9713 0.0762 0.3425 O
```

Record 8
VASP calculation (GGA-PBEsol) on crystalline Ru2PtW at its relaxed geometry.

Summary:
ΔE to the lowest computed polymorph ... 0 kJ/mol of formula units
Energy relative to the elements ... -0.18 eV/atom

POSCAR file:
```
Ru2PtW
1.0
3.8779 0.0000 0.0000
0.0000 3.8779 0.0000
0.0000 0.0000 3.7639
Ru Pt W
2 1 1
Direct
0.0000 0.5000 0.0000 Ru
0.5000 0.0000 0.0000 Ru
0.0000 0.0000 0.5000 Pt
0.5000 0.5000 0.5000 W
```

Record 9
VASP calculation (GGA-PBEsol) on crystalline ReMo3 at its relaxed geometry.

Summary:
Energy relative to the elements ... 0.03 eV/atom

POSCAR file:
```
ReMo3
1.0
-1.5547 2.2052 4.4049
1.5547 -2.2052 4.4049
1.5547 2.2052 -4.4049
Re Mo
1 3
Direct
0.0000 0.0000 0.0000 Re
0.2525 0.7525 0.5000 Mo
0.5000 0.5000 0.0000 Mo
0.7475 0.2475 0.5000 Mo
```

Record 10
VASP calculation (GGA-PBEsol) on crystalline CaTe2Pt at its relaxed geometry.

Summary:
ΔE_f (raw) ... -727 meV/atom
ΔE to the lowest computed polymorph ... 0 kJ/mol of formula units

POSCAR file:
```
CaTe2Pt
1.0
4.1374 0.0000 0.0000
0.0000 3.9936 0.0000
-2.0579 0.0000 6.5354
Ca Te Pt
1 2 1
Direct
0.0000 0.0000 0.0000 Ca
0.3929 0.5000 0.7839 Te
0.7108 0.0000 0.4273 Te
0.5888 0.5000 0.1786 Pt
```

Record 11
VASP calculation (GGA-PBEsol) on crystalline Cu3NiSb at its relaxed geometry.

Summary:
ΔE_f (raw) ... 713 meV/atom

POSCAR file:
```
Cu3NiSb
1.0
4.3383 0.0000 0.0000
0.0000 4.3383 0.0000
0.0000 0.0000 4.3383
Cu Ni Sb
3 1 1
Direct
0.0000 0.0000 0.5000 Cu
0.0000 0.5000 0.0000 Cu
0.5000 0.0000 0.0000 Cu
0.0000 0.0000 0.0000 Ni
0.5000 0.5000 0.5000 Sb
```

Record 12
VASP calculation (GGA-PBEsol) on crystalline BaZr4 at its relaxed geometry.

Summary:
Energy relative to the elements ... 0.35 eV/atom

POSCAR file:
```
BaZr4
1.0
-4.5043 4.5043 1.6265
4.5043 -4.5043 1.6265
4.5043 4.5043 -1.6265
Ba Zr
1 4
Direct
0.0000 0.0000 0.0000 Ba
0.1581 0.6194 0.7775 Zr
0.3806 0.1581 0.5387 Zr
0.6194 0.8419 0.4613 Zr
0.8419 0.3806 0.2225 Zr
```

Record 13
VASP calculation (GGA-PBEsol) on crystalline BaAsPbSe2 at its relaxed geometry.

Summary:
ΔE_f (raw) ... -355 meV/atom

POSCAR file:
```
BaAsPbSe2
1.0
5.4823 0.0000 0.0000
0.0000 5.4823 0.0000
0.0000 0.0000 5.2821
Ba As Pb Se
1 1 1 2
Direct
0.0000 0.0000 0.0000 Ba
0.5000 0.5000 0.0000 As
0.5000 0.5000 0.5000 Pb
0.0000 0.5000 0.5000 Se
0.5000 0.0000 0.5000 Se
```

Record 14
VASP calculation (GGA-PBEsol) on crystalline La4AsIr at its relaxed geometry.

Summary:
Energy relative to the elements ... 0.38 eV/atom

POSCAR file:
```
La4AsIr
1.0
0.0000 4.2714 4.2714
4.2714 0.0000 4.2714
4.2714 4.2714 0.0000
La As Ir
4 1 1
Direct
0.1251 0.1251 0.1251 La
0.1251 0.1251 0.6246 La
0.1251 0.6246 0.1251 La
0.6246 0.1251 0.1251 La
0.5000 0.5000 0.5000 As
0.7500 0.7500 0.7500 Ir
```

Record 15
VASP calculation (GGA-PBEsol) on crystalline TeSI2 at its relaxed geometry.

Summary:
ΔE_f (raw) ... 547 meV/atom

POSCAR file:
```
TeSI2
1.0
-4.0062 4.0062 3.8643
4.0062 -4.0062 3.8643
4.0062 4.0062 -3.8643
Te S I
2 2 4
Direct
0.0000 0.0000 0.0000 Te
0.7500 0.2500 0.5000 Te
0.2500 0.7500 0.5000 S
0.5000 0.5000 0.0000 S
0.1471 0.6250 0.0221 I
0.3750 0.3971 0.5221 I
0.6029 0.1250 0.9779 I
0.8750 0.8529 0.4779 I
```

Record 16
VASP calculation (GGA-PBEsol) on crystalline CrCI2N at its relaxed geometry.

Summary:
ΔE_f (raw) ... 1270 meV/atom

POSCAR file:
```
CrCI2N
1.0
6.5364 0.0000 0.0000
0.0000 6.5364 0.0000
0.0000 0.0000 2.6532
Cr C I N
1 1 2 1
Direct
0.0000 0.0000 0.0000 Cr
0.5000 0.5000 0.5000 C
0.0000 0.5000 0.5000 I
0.5000 0.0000 0.5000 I
0.5000 0.5000 0.0000 N
```

Record 17
VASP calculation (GGA-PBEsol) on crystalline Ba2MnAs2O8 at its relaxed geometry.

Summary:
ΔE_f (raw) ... -1944 meV/atom

POSCAR file:
```
Ba2MnAs2O8
1.0
5.4829 0.0000 0.0000
0.0000 9.2408 0.0000
-5.3942 0.0000 16.6042
Ba Mn As O
8 4 8 32
Direct
0.0213 0.1622 0.2689 Ba
0.0213 0.3378 0.7689 Ba
0.1928 0.6977 0.9785 Ba
0.1928 0.8023 0.4785 Ba
0.8072 0.1977 0.5215 Ba
0.8072 0.3023 0.0215 Ba
0.9787 0.6622 0.2311 Ba
0.9787 0.8378 0.7311 Ba
0.3989 0.0285 0.1368 Mn
0.3989 0.4715 0.6368 Mn
0.6011 0.5285 0.3632 Mn
0.6011 0.9715 0.8632 Mn
0.1767 0.0979 0.9244 As
0.1767 0.4021 0.4244 As
0.4183 0.1019 0.6641 As
0.4183 0.3981 0.1641 As
0.5817 0.6019 0.8359 As
0.5817 0.8981 0.3359 As
0.8233 0.5979 0.5756 As
0.8233 0.9021 0.0756 As
0.1340 0.6387 0.6326 O
0.1340 0.8613 0.1326 O
0.1958 0.1087 0.0236 O
0.1958 0.3913 0.5236 O
0.2334 0.0277 0.5756 O
0.2334 0.4723 0.0756 O
0.2578 0.5675 0.3931 O
0.2578 0.9325 0.8931 O
0.2653 0.6109 0.8322 O
0.2653 0.8891 0.3322 O
0.2931 0.2295 0.1723 O
0.2931 0.2705 0.6723 O
0.3737 0.2227 0.9018 O
0.3737 0.2773 0.4018 O
0.3867 0.0020 0.7436 O
0.3867 0.4980 0.2436 O
0.6133 0.5020 0.7564 O
0.6133 0.9980 0.2564 O
0.6263 0.7227 0.5982 O
0.6263 0.7773 0.0982 O
0.7069 0.7295 0.3277 O
0.7069 0.7705 0.8277 O
0.7347 0.1109 0.6678 O
0.7347 0.3891 0.1678 O
0.7422 0.0675 0.1069 O
0.7422 0.4325 0.6069 O
0.7666 0.5277 0.9244 O
0.7666 0.9723 0.4244 O
0.8042 0.6087 0.4764 O
0.8042 0.8913 0.9764 O
0.8660 0.1387 0.8674 O
0.8660 0.3613 0.3674 O
```

Record 18
VASP calculation (GGA-PBEsol) on crystalline Ti2AlH2 at its relaxed geometry.

Summary:
Energy ... -0.4352 Ry/atom

POSCAR file:
```
Ti2AlH2
1.0
-1.7117 1.7117 4.4297
1.7117 -1.7117 4.4297
1.7117 1.7117 -4.4297
Ti Al H
2 1 2
Direct
0.1629 0.1629 0.0000 Ti
0.8371 0.8371 0.0000 Ti
0.5000 0.5000 0.0000 Al
0.2500 0.7500 0.5000 H
0.7500 0.2500 0.5000 H
```

Record 19
VASP calculation (GGA-PBEsol) on crystalline CrP2Se at its relaxed geometry.

Summary:
ΔE_f (raw) ... 180 meV/atom

POSCAR file:
```
CrP2Se
1.0
-1.6523 2.2123 6.4318
1.6523 -2.2123 6.4318
1.6523 2.2123 -6.4318
Cr P Se
1 2 1
Direct
0.0000 0.0000 0.0000 Cr
0.5507 0.0507 0.5000 P
0.6615 0.6615 0.0000 P
0.8760 0.3760 0.5000 Se
```

Record 20
VASP calculation (GGA-PBEsol) on crystalline ZnIn8 at its relaxed geometry.

Summary:
Energy relative to the elements ... 0.04 eV/atom

POSCAR file:
```
ZnIn8
1.0
-4.9675 4.9675 2.1988
4.9675 -4.9675 2.1988
4.9675 4.9675 -2.1988
Zn In
1 8
Direct
0.0000 0.0000 0.0000 Zn
0.0000 0.3284 0.3284 In
0.0000 0.6716 0.6716 In
0.3284 0.0000 0.3284 In
0.3397 0.3397 0.6794 In
0.3397 0.6603 0.0000 In
0.6603 0.3397 0.0000 In
0.6603 0.6603 0.3206 In
0.6716 0.0000 0.6716 In
```

Record 21
VASP calculation (GGA-PBEsol) on crystalline CrCoRh at its relaxed geometry.

Summary:
ΔE to the lowest computed polymorph ... 1 kJ/mol of formula units
Energy relative to the elements ... 0.02 eV/atom

POSCAR file:
```
CrCoRh
1.0
-1.2830 1.2830 5.2566
1.2830 -1.2830 5.2566
1.2830 1.2830 -5.2566
Cr Co Rh
1 1 1
Direct
0.0000 0.0000 0.0000 Cr
0.3491 0.3491 0.0000 Co
0.6718 0.6718 0.0000 Rh
```

Record 22
VASP calculation (GGA-PBEsol) on crystalline Ca2RuCl at its relaxed geometry.

Summary:
ΔE_f (raw) ... -620 meV/atom
ΔE to the lowest computed polymorph ... 0 kJ/mol of formula units

POSCAR file:
```
Ca2RuCl
1.0
3.3006 0.0000 0.0000
0.0000 3.3006 0.0000
0.0000 0.0000 7.5906
Ca Ru Cl
2 1 1
Direct
0.0000 0.0000 0.2292 Ca
0.0000 0.0000 0.7708 Ca
0.5000 0.5000 0.0000 Ru
0.5000 0.5000 0.5000 Cl
```

Record 23
VASP calculation (GGA-PBEsol) on crystalline NiAsRu at its relaxed geometry.

Summary:
ΔE to the lowest computed polymorph ... 0 kJ/mol of formula units
Energy relative to the elements ... -0.15 eV/atom

POSCAR file:
```
NiAsRu
1.0
0.0000 2.7650 2.7650
2.7650 0.0000 2.7650
2.7650 2.7650 0.0000
Ni As Ru
1 1 1
Direct
0.0000 0.0000 0.0000 Ni
0.2500 0.2500 0.2500 As
0.5000 0.5000 0.5000 Ru
```

For each record above, in turn, the calculated volume values are 14.62, 30.69, 13.12, 22.27, 14.72, 21.83, 12.20, 14.15, 15.10, 27.00, 16.33, 26.40, 31.75, 25.98, 31.01, 22.67, 16.18, 10.38, 23.51, 24.11, 11.54, 20.67, 14.09 A^3/atom.